Compound: EuCuAu2
Source: the Alexandria database
Functional: GGA-PBE
Structure: relaxed

Values from the calculation:
Distance to the lowest polymorph of the same formula in meV/atom: 132
Calculated total energy in eV/cell: -89.13
Energy of formation in eV per formula unit: -1.4
Crystal system: cubic

Cell: 6.9588 6.9588 6.9588 Å, 90.00 90.00 90.00°
Space group Fm-3m (No. 225)
Symmetry-distinct sites (fractional):
1 Eu 0.0000 0.0000 0.0000
2 Cu 0.0000 0.0000 0.5000
3 Au 0.2500 0.2500 0.2500

=====

Compound: EuCuAu2
Source: the Alexandria database
Functional: GGA-PBE
Structure: relaxed

Values from the calculation:
Distance to the lowest polymorph of the same formula in meV/atom: 103
Calculated total energy in eV/cell: -22.40
Energy of formation in eV per formula unit: -1.5
Crystal system: tetragonal

Cell: 3.4935 3.4935 6.6975 Å, 90.00 90.00 90.00°
Space group P4/mmm (No. 123)
Symmetry-distinct sites (fractional):
1 Eu 0.0000 0.0000 0.0000
2 Cu 0.0000 0.0000 0.5000
3 Au 0.5000 0.5000 0.2939

=====

Compound: EuCuHgAu
Source: the Alexandria database
Functional: GGA-PBE
Structure: relaxed

Values from the calculation:
Calculated total energy in eV/cell: -76.34
Energy of formation in eV per formula unit: -1.1
Crystal system: cubic

Cell: 7.0658 7.0658 7.0658 Å, 90.00 90.00 90.00°
Space group F-43m (No. 216)
Symmetry-distinct sites (fractional):
1 Eu 0.0000 0.0000 0.0000
2 Cu 0.2500 0.2500 0.2500
3 Hg 0.0000 0.0000 0.5000
4 Au 0.2500 0.2500 0.7500

=====

Compound: EuInCuAu
Source: the Alexandria database
Functional: GGA-PBE
Structure: relaxed

Values from the calculation:
Calculated total energy in eV/cell: -87.07
Energy of formation in eV per formula unit: -1.4
Crystal system: cubic

Cell: 7.0387 7.0387 7.0387 Å, 90.00 90.00 90.00°
Space group F-43m (No. 216)
Symmetry-distinct sites (fractional):
1 Eu 0.0000 0.0000 0.0000
2 In 0.0000 0.0000 0.5000
3 Cu 0.2500 0.2500 0.2500
4 Au 0.2500 0.2500 0.7500

=====

Compound: LiEuCuAu
Source: the Alexandria database
Functional: GGA-PBE
Structure: relaxed

Values from the calculation:
Calculated total energy in eV/cell: -82.69
Energy of formation in eV per formula unit: -1.1
Crystal system: cubic

Cell: 7.0053 7.0053 7.0053 Å, 90.00 90.00 90.00°
Space group F-43m (No. 216)
Symmetry-distinct sites (fractional):
1 Li 0.0000 0.0000 0.0000
2 Eu 0.0000 0.0000 0.5000
3 Cu 0.2500 0.2500 0.2500
4 Au 0.2500 0.2500 0.7500

=====

Compound: EuLuCuAu
Source: the Alexandria database
Functional: GGA-PBE
Structure: relaxed

Values from the calculation:
Calculated total energy in eV/cell: -95.94
Energy of formation in eV per formula unit: -1.8
Crystal system: cubic

Cell: 7.1438 7.1438 7.1438 Å, 90.00 90.00 90.00°
Space group F-43m (No. 216)
Symmetry-distinct sites (fractional):
1 Eu 0.0000 0.0000 0.0000
2 Lu 0.0000 0.0000 0.5000
3 Cu 0.2500 0.2500 0.2500
4 Au 0.2500 0.2500 0.7500

=====

Compound: PrEuCuAu
Source: the Alexandria database
Functional: GGA-PBE
Structure: relaxed

Values from the calculation:
Calculated total energy in eV/cell: -96.66
Energy of formation in eV per formula unit: -1.7
Crystal system: cubic

Cell: 7.3817 7.3817 7.3817 Å, 90.00 90.00 90.00°
Space group F-43m (No. 216)
Symmetry-distinct sites (fractional):
1 Pr 0.0000 0.0000 0.0000
2 Eu 0.0000 0.0000 0.5000
3 Cu 0.2500 0.2500 0.2500
4 Au 0.2500 0.2500 0.7500

=====

Compound: EuCuSnAu
Source: the Alexandria database
Functional: GGA-PBE
Structure: relaxed

Values from the calculation:
Calculated total energy in eV/cell: -92.97
Energy of formation in eV per formula unit: -1.6
Crystal system: cubic

Cell: 7.0237 7.0237 7.0237 Å, 90.00 90.00 90.00°
Space group F-43m (No. 216)
Symmetry-distinct sites (fractional):
1 Eu 0.0000 0.0000 0.0000
2 Cu 0.2500 0.2500 0.7500
3 Sn 0.0000 0.0000 0.5000
4 Au 0.2500 0.2500 0.2500

=====

Compound: SrEuCuAu
Source: the Alexandria database
Functional: GGA-PBE
Structure: relaxed

Values from the calculation:
Calculated total energy in eV/cell: -83.38
Energy of formation in eV per formula unit: -1.5
Crystal system: cubic

Cell: 7.5245 7.5245 7.5245 Å, 90.00 90.00 90.00°
Space group F-43m (No. 216)
Symmetry-distinct sites (fractional):
1 Sr 0.0000 0.0000 0.0000
2 Eu 0.0000 0.0000 0.5000
3 Cu 0.2500 0.2500 0.7500
4 Au 0.2500 0.2500 0.2500

=====

Compound: TbEuCuAu
Source: the Alexandria database
Functional: GGA-PBE
Structure: relaxed

Values from the calculation:
Calculated total energy in eV/cell: -96.33
Energy of formation in eV per formula unit: -1.8
Crystal system: cubic

Cell: 7.2365 7.2365 7.2365 Å, 90.00 90.00 90.00°
Space group F-43m (No. 216)
Symmetry-distinct sites (fractional):
1 Tb 0.0000 0.0000 0.0000
2 Eu 0.0000 0.0000 0.5000
3 Cu 0.2500 0.2500 0.7500
4 Au 0.2500 0.2500 0.2500

=====

Compound: EuTlCuAu
Source: the Alexandria database
Functional: GGA-PBE
Structure: relaxed

Values from the calculation:
Calculated total energy in eV/cell: -83.84
Energy of formation in eV per formula unit: -0.9
Crystal system: cubic

Cell: 7.1349 7.1349 7.1349 Å, 90.00 90.00 90.00°
Space group F-43m (No. 216)
Symmetry-distinct sites (fractional):
1 Eu 0.0000 0.0000 0.0000
2 Tl 0.0000 0.0000 0.5000
3 Cu 0.2500 0.2500 0.7500
4 Au 0.2500 0.2500 0.2500

=====

Compound: EuYCuAu
Source: the Alexandria database
Functional: GGA-PBE
Structure: relaxed

Values from the calculation:
Calculated total energy in eV/cell: -103.65
Energy of formation in eV per formula unit: -1.8
Crystal system: cubic

Cell: 7.2335 7.2335 7.2335 Å, 90.00 90.00 90.00°
Space group F-43m (No. 216)
Symmetry-distinct sites (fractional):
1 Eu 0.0000 0.0000 0.0000
2 Y 0.0000 0.0000 0.5000
3 Cu 0.2500 0.2500 0.7500
4 Au 0.2500 0.2500 0.2500

=====

Compound: EuZnCuAu
Source: the Alexandria database
Functional: GGA-PBE
Structure: relaxed

Values from the calculation:
Calculated total energy in eV/cell: -79.57
Energy of formation in eV per formula unit: -1.0
Crystal system: cubic

Cell: 6.8883 6.8883 6.8883 Å, 90.00 90.00 90.00°
Space group F-43m (No. 216)
Symmetry-distinct sites (fractional):
1 Eu 0.0000 0.0000 0.0000
2 Zn 0.0000 0.0000 0.5000
3 Cu 0.2500 0.2500 0.7500
4 Au 0.2500 0.2500 0.2500

=====

Compound: CuAu3F9
Source: the Alexandria database
Functional: GGA-PBE
Structure: relaxed

Values from the calculation:
Calculated total energy in eV/cell: -176.42
Crystal system: orthorhombic

Cell: 9.3635 12.4406 7.0005 Å, 90.00 90.00 90.00°
Space group C222_1 (No. 20)
Symmetry-distinct sites (fractional):
1 Cu 0.2440 0.0000 0.0000
2 Au 0.0071 0.2528 0.5563
3 Au 0.2500 0.0000 0.5000
4 F 0.0000 0.2844 0.2500
5 F 0.0676 0.1056 0.0024
6 F 0.0887 0.4007 0.5861
7 F 0.2453 0.1470 0.3999
8 F 0.2465 0.4327 0.2538

=====

Compound: CuAuF5
Source: the Alexandria database
Functional: GGA-PBE
Structure: relaxed

Values from the calculation:
Distance to the lowest polymorph of the same formula in meV/atom: 0
Calculated total energy in eV/cell: -25.41
Crystal system: triclinic

Cell: 3.8071 5.1608 5.5245 Å, 91.10 98.28 107.80°
Space group P-1 (No. 2)
Symmetry-distinct sites (fractional):
1 Cu 0.0000 0.0000 0.0000
2 Au 0.0000 0.5000 0.5000
3 F 0.1205 0.3445 0.8162
4 F 0.1814 0.2324 0.3300
5 F 0.5000 0.0000 0.0000

=====

Compound: Cu5Au3F12
Source: the Alexandria database
Functional: GGA-PBE
Structure: relaxed

Values from the calculation:
Calculated total energy in eV/cell: -587.66
Crystal system: cubic

Cell: 13.3919 13.3919 13.3919 Å, 90.00 90.00 90.00°
Space group Ia-3d (No. 230)
Symmetry-distinct sites (fractional):
1 Cu 0.0000 0.0000 0.0000
2 Cu 0.0000 0.2500 0.3750
3 Au 0.0000 0.2500 0.1250
4 F 0.0224 0.0265 0.6483

=====

Compound: CuAuF2
Source: the Alexandria database
Functional: GGA-PBE
Structure: relaxed

Values from the calculation:
Distance to the lowest polymorph of the same formula in meV/atom: 244
Calculated total energy in eV/cell: -55.00
Crystal system: tetragonal

Cell: 6.3393 6.3393 5.5472 Å, 90.00 90.00 90.00°
Space group I-42d (No. 122)
Symmetry-distinct sites (fractional):
1 Cu 0.0000 0.0000 0.0000
2 Au 0.0000 0.0000 0.5000
3 F 0.1666 0.2500 0.1250

=====

Compound: Cu2AuF
Source: the Alexandria database
Functional: GGA-PBE
Structure: relaxed

Values from the calculation:
Distance to the lowest polymorph of the same formula in meV/atom: 0
Calculated total energy in eV/cell: -58.08
Crystal system: tetragonal

Cell: 6.2809 6.2809 5.7207 Å, 90.00 90.00 90.00°
Space group I-42d (No. 122)
Symmetry-distinct sites (fractional):
1 Cu 0.1940 0.2500 0.1250
2 Au 0.0000 0.0000 0.5000
3 F 0.0000 0.0000 0.0000

=====

Compound: Cu2AuF
Source: the Alexandria database
Functional: GGA-PBE
Structure: relaxed

Values from the calculation:
Distance to the lowest polymorph of the same formula in meV/atom: 97
Calculated total energy in eV/cell: -56.52
Crystal system: cubic

Cell: 6.0301 6.0301 6.0301 Å, 90.00 90.00 90.00°
Space group Fm-3m (No. 225)
Symmetry-distinct sites (fractional):
1 Cu 0.2500 0.2500 0.2500
2 Au 0.0000 0.0000 0.0000
3 F 0.0000 0.0000 0.5000

=====

Compound: CuAuF2
Source: the Alexandria database
Functional: GGA-PBE
Structure: relaxed

Values from the calculation:
Distance to the lowest polymorph of the same formula in meV/atom: 447
Calculated total energy in eV/cell: -51.75
Crystal system: cubic

Cell: 5.8987 5.8987 5.8987 Å, 90.00 90.00 90.00°
Space group Fm-3m (No. 225)
Symmetry-distinct sites (fractional):
1 Cu 0.0000 0.0000 0.0000
2 Au 0.0000 0.0000 0.5000
3 F 0.2500 0.2500 0.2500